# CsHoSnF6 | the Alexandria database | PBE | optimized geometry
# N(E_F)   0.000 states/eV per cell
# Mass density   4.36 g cm⁻³
# V   22.45 Å³/atom
# E_tot   -49.5 eV per cell
data_CsHoSnF6
_cell_length_a 5.7831
_cell_length_b 6.3300
_cell_length_c 6.3546
_cell_angle_alpha 119.73
_cell_angle_beta 90.00
_cell_angle_gamma 90.16
_space_group_name_H-M_alt 'P 1'
_space_group_IT_number 1
loop_
_space_group_symop_operation_xyz
'x,y,z'
loop_
_atom_site_label
_atom_site_type_symbol
_atom_site_fract_x
_atom_site_fract_y
_atom_site_fract_z
Cs1 Cs 0.0000 0.0000 0.0000
Ho1 Ho 0.4547 0.6667 0.3331
Sn1 Sn 0.4982 0.3331 0.6673
F1 F 0.2591 0.0058 0.5764
F2 F 0.2596 0.5680 0.9931
F3 F 0.2611 0.4206 0.4301
F4 F 0.6509 0.9430 0.3102
F5 F 0.6518 0.6917 0.6311
F6 F 0.6565 0.3736 0.0643